1.
# Tc2RhCl GGA-PBE relaxed
# Formation energy without anion corrections   437 meV/atom
# DOS(E_F)   7.4 states/eV per cell
# Polymorph energy (0 for the lowest one)   244 meV per atom
# DFT total energy   -7.046 eV/atom
data_Tc2RhCl
_space_group_name_H-M_alt 'P 1'
_space_group_IT_number 1
_space_group_name_Hall 'P 1'
_cell_length_a 8.949
_cell_length_b 2.810
_cell_length_c 7.311
_cell_angle_alpha 90.00
_cell_angle_beta 122.28
_cell_angle_gamma 90.00
loop_
_atom_site_label
_atom_site_type_symbol
_atom_site_fract_x
_atom_site_fract_y
_atom_site_fract_z
Tc1 Tc 0.214 0.000 0.339
Tc2 Tc 0.286 0.500 0.661
Tc3 Tc 0.714 0.500 0.339
Tc4 Tc 0.786 0.000 0.661
Rh1 Rh 0.000 0.000 0.500
Rh2 Rh 0.500 0.500 0.500
Cl1 Cl 0.000 0.500 0.000
Cl2 Cl 0.500 0.000 0.000

***

2.
# TcRhCl2 GGA-PBE relaxed
# Formation energy without anion corrections   5 meV/atom
# DOS(E_F)   3.4 states/eV per cell
# Polymorph energy (0 for the lowest one)   88 meV per atom
# DFT total energy   -5.347 eV/atom
data_TcRhCl2
_space_group_name_H-M_alt 'P 1'
_space_group_IT_number 1
_space_group_name_Hall 'P 1'
_cell_length_a 2.976
_cell_length_b 2.976
_cell_length_c 8.304
_cell_angle_alpha 90.00
_cell_angle_beta 90.00
_cell_angle_gamma 90.00
loop_
_atom_site_label
_atom_site_type_symbol
_atom_site_fract_x
_atom_site_fract_y
_atom_site_fract_z
Tc1 Tc 0.000 0.000 0.000
Rh1 Rh 0.500 0.500 0.815
Cl1 Cl 0.000 0.000 0.609
Cl2 Cl 0.500 0.500 0.200

***

3.
# TcRhCl2 GGA-PBE relaxed
# Formation energy without anion corrections   184 meV/atom
# DOS(E_F)   8.9 states/eV per cell
# Polymorph energy (0 for the lowest one)   267 meV per atom
# DFT total energy   -5.169 eV/atom
data_TcRhCl2
_space_group_name_H-M_alt 'P 1'
_space_group_IT_number 1
_space_group_name_Hall 'P 1'
_cell_length_a 2.941
_cell_length_b 4.491
_cell_length_c 13.444
_cell_angle_alpha 90.00
_cell_angle_beta 90.00
_cell_angle_gamma 90.00
loop_
_atom_site_label
_atom_site_type_symbol
_atom_site_fract_x
_atom_site_fract_y
_atom_site_fract_z
Tc1 Tc 0.000 0.000 0.000
Tc2 Tc 0.500 0.500 0.500
Rh1 Rh 0.000 0.000 0.500
Rh2 Rh 0.500 0.500 0.000
Cl1 Cl 0.000 0.500 0.358
Cl2 Cl 0.000 0.500 0.642
Cl3 Cl 0.500 0.000 0.142
Cl4 Cl 0.500 0.000 0.858

***

4.
# TcRhCl2 GGA-PBE relaxed
# Formation energy without anion corrections   49 meV/atom
# DOS(E_F)   15.2 states/eV per cell
# Polymorph energy (0 for the lowest one)   132 meV per atom
# DFT total energy   -5.304 eV/atom
data_TcRhCl2
_space_group_name_H-M_alt 'P 1'
_space_group_IT_number 1
_space_group_name_Hall 'P 1'
_cell_length_a 3.023
_cell_length_b 3.023
_cell_length_c 27.231
_cell_angle_alpha 90.00
_cell_angle_beta 90.00
_cell_angle_gamma 120.00
loop_
_atom_site_label
_atom_site_type_symbol
_atom_site_fract_x
_atom_site_fract_y
_atom_site_fract_z
Tc1 Tc 0.000 0.000 0.000
Tc2 Tc 0.333 0.667 0.667
Tc3 Tc 0.667 0.333 0.333
Rh1 Rh 0.000 0.000 0.261
Rh2 Rh 0.333 0.667 0.927
Rh3 Rh 0.667 0.333 0.594
Cl1 Cl 0.000 0.000 0.524
Cl2 Cl 0.000 0.000 0.732
Cl3 Cl 0.333 0.667 0.191
Cl4 Cl 0.333 0.667 0.399
Cl5 Cl 0.667 0.333 0.066
Cl6 Cl 0.667 0.333 0.858

***

5.
# Tc2RhCl GGA-PBE relaxed
# Formation energy without anion corrections   560 meV/atom
# DOS(E_F)   8.2 states/eV per cell
# Polymorph energy (0 for the lowest one)   367 meV per atom
# DFT total energy   -6.922 eV/atom
data_Tc2RhCl
_space_group_name_H-M_alt 'P 1'
_space_group_IT_number 1
_space_group_name_Hall 'P 1'
_cell_length_a 2.862
_cell_length_b 4.493
_cell_length_c 8.966
_cell_angle_alpha 90.00
_cell_angle_beta 90.00
_cell_angle_gamma 90.00
loop_
_atom_site_label
_atom_site_type_symbol
_atom_site_fract_x
_atom_site_fract_y
_atom_site_fract_z
Tc1 Tc 0.000 0.000 0.000
Tc2 Tc 0.000 0.500 0.241
Tc3 Tc 0.500 0.000 0.741
Tc4 Tc 0.500 0.500 0.500
Rh1 Rh 0.000 0.000 0.465
Rh2 Rh 0.500 0.500 0.965
Cl1 Cl 0.000 0.500 0.723
Cl2 Cl 0.500 0.000 0.223

***

6.
# Tc2RhCl GGA-PBE relaxed
# Formation energy without anion corrections   193 meV/atom
# DOS(E_F)   13.1 states/eV per cell
# Polymorph energy (0 for the lowest one)   0 meV per atom
# DFT total energy   -7.290 eV/atom
data_Tc2RhCl
_space_group_name_H-M_alt 'P 1'
_space_group_IT_number 1
_space_group_name_Hall 'P 1'
_cell_length_a 2.845
_cell_length_b 2.845
_cell_length_c 25.445
_cell_angle_alpha 90.00
_cell_angle_beta 90.00
_cell_angle_gamma 120.00
loop_
_atom_site_label
_atom_site_type_symbol
_atom_site_fract_x
_atom_site_fract_y
_atom_site_fract_z
Tc1 Tc 0.000 0.000 0.000
Tc2 Tc 0.000 0.000 0.250
Tc3 Tc 0.333 0.667 0.667
Tc4 Tc 0.333 0.667 0.916
Tc5 Tc 0.667 0.333 0.333
Tc6 Tc 0.667 0.333 0.583
Rh1 Rh 0.000 0.000 0.750
Rh2 Rh 0.333 0.667 0.417
Rh3 Rh 0.667 0.333 0.083
Cl1 Cl 0.000 0.000 0.506
Cl2 Cl 0.333 0.667 0.172
Cl3 Cl 0.667 0.333 0.839

***

7.
# Tc2RhCl GGA-PBE relaxed
# Formation energy without anion corrections   598 meV/atom
# DOS(E_F)   11.0 states/eV per cell
# Polymorph energy (0 for the lowest one)   405 meV per atom
# DFT total energy   -6.884 eV/atom
data_Tc2RhCl
_space_group_name_H-M_alt 'P 1'
_space_group_IT_number 1
_space_group_name_Hall 'P 1'
_cell_length_a 2.789
_cell_length_b 4.919
_cell_length_c 8.884
_cell_angle_alpha 90.00
_cell_angle_beta 90.00
_cell_angle_gamma 90.00
loop_
_atom_site_label
_atom_site_type_symbol
_atom_site_fract_x
_atom_site_fract_y
_atom_site_fract_z
Tc1 Tc 0.000 0.000 0.245
Tc2 Tc 0.000 0.000 0.755
Tc3 Tc 0.500 0.500 0.245
Tc4 Tc 0.500 0.500 0.755
Rh1 Rh 0.000 0.500 0.500
Rh2 Rh 0.500 0.000 0.500
Cl1 Cl 0.000 0.500 0.000
Cl2 Cl 0.500 0.000 0.000

***

8.
# Tc2RhCl GGA-PBE relaxed
# Formation energy without anion corrections   981 meV/atom
# DOS(E_F)   5.4 states/eV per cell
# Polymorph energy (0 for the lowest one)   788 meV per atom
# DFT total energy   -6.502 eV/atom
data_Tc2RhCl
_space_group_name_H-M_alt 'P 1'
_space_group_IT_number 1
_space_group_name_Hall 'P 1'
_cell_length_a 3.565
_cell_length_b 3.565
_cell_length_c 4.928
_cell_angle_alpha 90.00
_cell_angle_beta 90.00
_cell_angle_gamma 90.00
loop_
_atom_site_label
_atom_site_type_symbol
_atom_site_fract_x
_atom_site_fract_y
_atom_site_fract_z
Tc1 Tc 0.000 0.500 0.000
Tc2 Tc 0.500 0.000 0.000
Rh1 Rh 0.000 0.000 0.500
Cl1 Cl 0.500 0.500 0.500

***

9.
# TcRhCl2 GGA-PBE relaxed
# Formation energy without anion corrections   758 meV/atom
# DOS(E_F)   7.7 states/eV per cell
# Polymorph energy (0 for the lowest one)   841 meV per atom
# DFT total energy   -4.595 eV/atom
data_TcRhCl2
_space_group_name_H-M_alt 'P 1'
_space_group_IT_number 1
_space_group_name_Hall 'P 1'
_cell_length_a 6.409
_cell_length_b 6.409
_cell_length_c 6.409
_cell_angle_alpha 90.00
_cell_angle_beta 90.00
_cell_angle_gamma 90.00
loop_
_atom_site_label
_atom_site_type_symbol
_atom_site_fract_x
_atom_site_fract_y
_atom_site_fract_z
Tc1 Tc 0.000 0.000 0.000
Tc2 Tc 0.000 0.500 0.500
Tc3 Tc 0.500 0.000 0.500
Tc4 Tc 0.500 0.500 0.000
Rh1 Rh 0.250 0.250 0.750
Rh2 Rh 0.250 0.750 0.250
Rh3 Rh 0.750 0.250 0.250
Rh4 Rh 0.750 0.750 0.750
Cl1 Cl 0.000 0.000 0.500
Cl2 Cl 0.000 0.500 0.000
Cl3 Cl 0.250 0.250 0.250
Cl4 Cl 0.250 0.750 0.750
Cl5 Cl 0.500 0.000 0.000
Cl6 Cl 0.500 0.500 0.500
Cl7 Cl 0.750 0.250 0.750
Cl8 Cl 0.750 0.750 0.250

***

10.
# TcRhCl2 GGA-PBE relaxed
# Formation energy without anion corrections   284 meV/atom
# DOS(E_F)   9.8 states/eV per cell
# Polymorph energy (0 for the lowest one)   367 meV per atom
# DFT total energy   -5.069 eV/atom
data_TcRhCl2
_space_group_name_H-M_alt 'P 1'
_space_group_IT_number 1
_space_group_name_Hall 'P 1'
_cell_length_a 2.893
_cell_length_b 5.349
_cell_length_c 9.570
_cell_angle_alpha 90.00
_cell_angle_beta 90.00
_cell_angle_gamma 90.00
loop_
_atom_site_label
_atom_site_type_symbol
_atom_site_fract_x
_atom_site_fract_y
_atom_site_fract_z
Tc1 Tc 0.000 0.000 0.000
Tc2 Tc 0.500 0.500 0.000
Rh1 Rh 0.000 0.500 0.768
Rh2 Rh 0.500 0.000 0.768
Cl1 Cl 0.000 0.000 0.562
Cl2 Cl 0.000 0.500 0.200
Cl3 Cl 0.500 0.000 0.200
Cl4 Cl 0.500 0.500 0.562

***

11.
# Tc2RhCl GGA-PBE relaxed
# Formation energy without anion corrections   613 meV/atom
# DOS(E_F)   10.9 states/eV per cell
# Polymorph energy (0 for the lowest one)   420 meV per atom
# DFT total energy   -6.869 eV/atom
data_Tc2RhCl
_space_group_name_H-M_alt 'P 1'
_space_group_IT_number 1
_space_group_name_Hall 'P 1'
_cell_length_a 2.871
_cell_length_b 4.428
_cell_length_c 9.123
_cell_angle_alpha 90.00
_cell_angle_beta 90.00
_cell_angle_gamma 90.00
loop_
_atom_site_label
_atom_site_type_symbol
_atom_site_fract_x
_atom_site_fract_y
_atom_site_fract_z
Tc1 Tc 0.000 0.000 0.224
Tc2 Tc 0.000 0.000 0.776
Tc3 Tc 0.500 0.500 0.276
Tc4 Tc 0.500 0.500 0.724
Rh1 Rh 0.000 0.500 0.000
Rh2 Rh 0.500 0.000 0.500
Cl1 Cl 0.000 0.500 0.500
Cl2 Cl 0.500 0.000 0.000

***

12.
# Tc2RhCl GGA-PBE relaxed
# Formation energy without anion corrections   465 meV/atom
# DOS(E_F)   9.1 states/eV per cell
# Polymorph energy (0 for the lowest one)   272 meV per atom
# DFT total energy   -7.018 eV/atom
data_Tc2RhCl
_space_group_name_H-M_alt 'P 1'
_space_group_IT_number 1
_space_group_name_Hall 'P 1'
_cell_length_a 2.827
_cell_length_b 4.890
_cell_length_c 8.870
_cell_angle_alpha 90.00
_cell_angle_beta 90.00
_cell_angle_gamma 90.00
loop_
_atom_site_label
_atom_site_type_symbol
_atom_site_fract_x
_atom_site_fract_y
_atom_site_fract_z
Tc1 Tc 0.000 0.000 0.000
Tc2 Tc 0.000 0.500 0.248
Tc3 Tc 0.500 0.000 0.248
Tc4 Tc 0.500 0.500 0.000
Rh1 Rh 0.000 0.000 0.497
Rh2 Rh 0.500 0.500 0.497
Cl1 Cl 0.000 0.500 0.764
Cl2 Cl 0.500 0.000 0.764

***

13.
# TcRhCl2 GGA-PBE relaxed
# Formation energy without anion corrections   436 meV/atom
# DOS(E_F)   10.7 states/eV per cell
# Polymorph energy (0 for the lowest one)   519 meV per atom
# DFT total energy   -4.917 eV/atom
data_TcRhCl2
_space_group_name_H-M_alt 'P 1'
_space_group_IT_number 1
_space_group_name_Hall 'P 1'
_cell_length_a 3.000
_cell_length_b 3.000
_cell_length_c 23.547
_cell_angle_alpha 90.00
_cell_angle_beta 90.00
_cell_angle_gamma 120.00
loop_
_atom_site_label
_atom_site_type_symbol
_atom_site_fract_x
_atom_site_fract_y
_atom_site_fract_z
Tc1 Tc 0.000 0.000 0.000
Tc2 Tc 0.333 0.667 0.667
Tc3 Tc 0.667 0.333 0.333
Rh1 Rh 0.000 0.000 0.500
Rh2 Rh 0.333 0.667 0.167
Rh3 Rh 0.667 0.333 0.833
Cl1 Cl 0.000 0.000 0.255
Cl2 Cl 0.000 0.000 0.745
Cl3 Cl 0.333 0.667 0.411
Cl4 Cl 0.333 0.667 0.922
Cl5 Cl 0.667 0.333 0.078
Cl6 Cl 0.667 0.333 0.589

***

14.
# TcRhCl2 GGA-PBE relaxed
# Formation energy without anion corrections   757 meV/atom
# DOS(E_F)   4.7 states/eV per cell
# Polymorph energy (0 for the lowest one)   840 meV per atom
# DFT total energy   -4.596 eV/atom
data_TcRhCl2
_space_group_name_H-M_alt 'P 1'
_space_group_IT_number 1
_space_group_name_Hall 'P 1'
_cell_length_a 3.125
_cell_length_b 3.125
_cell_length_c 6.359
_cell_angle_alpha 90.00
_cell_angle_beta 90.00
_cell_angle_gamma 90.00
loop_
_atom_site_label
_atom_site_type_symbol
_atom_site_fract_x
_atom_site_fract_y
_atom_site_fract_z
Tc1 Tc 0.000 0.000 0.000
Rh1 Rh 0.000 0.000 0.500
Cl1 Cl 0.500 0.500 0.243
Cl2 Cl 0.500 0.500 0.757

***

15.
# TcRhCl2 GGA-PBE relaxed
# Formation energy without anion corrections   -52 meV/atom
# DOS(E_F)   3.7 states/eV per cell
# Polymorph energy (0 for the lowest one)   31 meV per atom
# DFT total energy   -5.404 eV/atom
data_TcRhCl2
_space_group_name_H-M_alt 'P 1'
_space_group_IT_number 1
_space_group_name_Hall 'P 1'
_cell_length_a 6.847
_cell_length_b 3.062
_cell_length_c 8.452
_cell_angle_alpha 90.00
_cell_angle_beta 107.14
_cell_angle_gamma 90.00
loop_
_atom_site_label
_atom_site_type_symbol
_atom_site_fract_x
_atom_site_fract_y
_atom_site_fract_z
Tc1 Tc 0.000 0.000 0.000
Tc2 Tc 0.500 0.500 0.000
Rh1 Rh 0.282 0.500 0.171
Rh2 Rh 0.782 0.000 0.171
Cl1 Cl 0.069 0.500 0.368
Cl2 Cl 0.423 0.000 0.778
Cl3 Cl 0.569 0.000 0.368
Cl4 Cl 0.923 0.500 0.778